# K2Pt

A PBEsol-optimized structure of K2Pt (SCAN, the Alexandria database).

energy of formation: -62 meV/atom
energy: -87.0 eV/f.u.
V: 34.375 A^3/atom

Structure (CIF):
```
data_K2Pt
_chemical_formula_sum 'K8 Pt4'
_symmetry_space_group_name_H-M 'F m -3 m'
_symmetry_Int_Tables_number 225
_symmetry_space_group_name_Hall '-F 4 2 3'
_cell_length_a 7.444
_cell_length_b 7.444
_cell_length_c 7.444
_cell_angle_alpha 90.00
_cell_angle_beta 90.00
_cell_angle_gamma 90.00
loop_
_atom_site_label
_atom_site_fract_x
_atom_site_fract_y
_atom_site_fract_z
_atom_site_occupancy
K1 0.250 0.250 0.250 1
Pt1 0.000 0.000 0.000 1
```


# K2Pt

A PBEsol-optimized structure of K2Pt (SCAN, the Alexandria database).

energy of formation: 20 meV/atom
energy: -86.8 eV/f.u.
V: 28.329 A^3/atom

Structure (CIF):
```
data_K2Pt
_chemical_formula_sum 'K4 Pt2'
_symmetry_space_group_name_H-M 'I 4/m m m'
_symmetry_Int_Tables_number 139
_symmetry_space_group_name_Hall '-I 4 2'
_cell_length_a 4.195
_cell_length_b 4.195
_cell_length_c 9.661
_cell_angle_alpha 90.00
_cell_angle_beta 90.00
_cell_angle_gamma 90.00
loop_
_atom_site_label
_atom_site_fract_x
_atom_site_fract_y
_atom_site_fract_z
_atom_site_occupancy
K1 0.000 0.000 0.153 1
Pt1 0.000 0.000 0.500 1
```


# KPt5

A PBEsol-optimized structure of KPt5 (SCAN, the Alexandria database).

energy of formation: 115 meV/atom
energy: -358.6 eV/f.u.
V: 16.764 A^3/atom

Structure (CIF):
```
data_KPt5
_chemical_formula_sum 'K1 Pt5'
_symmetry_space_group_name_H-M 'P 4/m m m'
_symmetry_Int_Tables_number 123
_symmetry_space_group_name_Hall '-P 4 2'
_cell_length_a 2.782
_cell_length_b 2.782
_cell_length_c 12.995
_cell_angle_alpha 90.00
_cell_angle_beta 90.00
_cell_angle_gamma 90.00
loop_
_atom_site_label
_atom_site_fract_x
_atom_site_fract_y
_atom_site_fract_z
_atom_site_occupancy
K1 0.000 0.000 0.000 1
Pt1 0.000 0.000 0.352 1
Pt2 0.500 0.500 0.203 1
Pt3 0.500 0.500 0.500 1
```


# KPt4

A PBEsol-optimized structure of KPt4 (SCAN, the Alexandria database).

energy of formation: 161 meV/atom
polymorph energy (0 for the lowest one): 0.000 eV/atom
energy: -288.3 eV/f.u.
V: 20.140 A^3/atom

Structure (CIF):
```
data_KPt4
_chemical_formula_sum 'K2 Pt8'
_symmetry_space_group_name_H-M 'I 4/m m m'
_symmetry_Int_Tables_number 139
_symmetry_space_group_name_Hall '-I 4 2'
_cell_length_a 4.511
_cell_length_b 4.511
_cell_length_c 9.896
_cell_angle_alpha 90.00
_cell_angle_beta 90.00
_cell_angle_gamma 90.00
loop_
_atom_site_label
_atom_site_fract_x
_atom_site_fract_y
_atom_site_fract_z
_atom_site_occupancy
K1 0.000 0.000 0.000 1
Pt1 0.000 0.000 0.376 1
Pt2 0.000 0.500 0.250 1
```


# K6Pt7

A PBEsol-optimized structure of K6Pt7 (SCAN, the Alexandria database).

energy of formation: -124 meV/atom
energy: -542.9 eV/f.u.
V: 21.159 A^3/atom

Structure (CIF):
```
data_K6Pt7
_chemical_formula_sum 'K18 Pt21'
_symmetry_space_group_name_H-M 'R -3 m'
_symmetry_Int_Tables_number 166
_symmetry_space_group_name_Hall '-R 3 2"'
_cell_length_a 5.5446
_cell_length_b 5.5446
_cell_length_c 30.9946
_cell_angle_alpha 90.00
_cell_angle_beta 90.00
_cell_angle_gamma 120.00
loop_
_atom_site_label
_atom_site_fract_x
_atom_site_fract_y
_atom_site_fract_z
_atom_site_occupancy
K1 0.0000 0.0000 0.0523 1
K2 0.0000 0.0000 0.1503 1
K3 0.0000 0.0000 0.3392 1
Pt1 0.0000 0.0000 0.5000 1
Pt2 0.0055 0.5028 0.9041 1
```


# KPt4

A PBEsol-optimized structure of KPt4 (SCAN, the Alexandria database).

energy of formation: 1731 meV/atom
polymorph energy (0 for the lowest one): 1.571 eV/atom
energy: -280.4 eV/f.u.
V: 20.042 A^3/atom

Structure (CIF):
```
data_KPt4
_chemical_formula_sum 'K2 Pt8'
_symmetry_space_group_name_H-M 'I m -3 m'
_symmetry_Int_Tables_number 229
_symmetry_space_group_name_Hall '-I 4 2 3'
_cell_length_a 5.852
_cell_length_b 5.852
_cell_length_c 5.852
_cell_angle_alpha 90.00
_cell_angle_beta 90.00
_cell_angle_gamma 90.00
loop_
_atom_site_label
_atom_site_fract_x
_atom_site_fract_y
_atom_site_fract_z
_atom_site_occupancy
K1 0.000 0.000 0.000 1
Pt1 0.250 0.250 0.250 1
```


Taking the records one at a time from the top gives calculated density values of 4.4 5.3 16.7 13.5 9.7 13.6 g/cm3.